DFT (PBE) results for a geometry-optimized CeHoAu structure.

- E_tot: -5.029 eV per atom
- E_form: -0.432 eV/atom
- Energy above the most stable polymorph in this dataset: 0 meV/atom

Cell lengths 3.5774, 3.5774, 6.8113 Å; angles 105.22, 105.22, 90.00 degrees
Last column: magnetic moment on the atom in μB.
Fractional coordinates of all 3 atoms:
Ce 0.0157 0.0157 0.0315  0.98
Au 0.6770 0.6770 0.3540  0.01
Ho 0.3073 0.3073 0.6146  0.21